Cr3InAg PBE relaxed; total energy = -0.406 Ry/atom; M_tot = 13.2 μB per formula unit
1.0
-4.985 0.006 -0.416
0.391 -1.634 -4.712
-0.141 -4.728 1.628
Ag In Cr
1 1 3
direct
0.000 0.000 0.000 Ag
0.500 0.500 0.500 In
0.000 0.500 0.000 Cr
0.000 0.000 0.500 Cr
0.500 0.000 0.000 Cr